Version one
Compound: Y2NiPb2
Source: the Alexandria database
Functional: PBE-GGA
Structure: relaxed

a b c (Å): 7.3321 7.3321 5.0528
angles (deg): 90.00 90.00 90.00
With the nearest neighbours (Å) after each atom.
Sites, in units of the cell vectors:
Pb 0.8459 0.3459 0.5000  6 Y 3.14-3.45, 1 Pb 3.20
Pb 0.1541 0.6541 0.5000  6 Y 3.14-3.45, 1 Pb 3.20
Pb 0.3459 0.1541 0.5000  6 Y 3.14-3.45, 1 Pb 3.20
Pb 0.6541 0.8459 0.5000  6 Y 3.14-3.45, 1 Pb 3.20
Ni 0.5000 0.5000 0.0000  4 Y 2.73
Ni 0.0000 0.0000 0.0000  4 Y 2.73
Y 0.1669 0.3331 0.0000  2 Ni 2.73
Y 0.8331 0.6669 0.0000  2 Ni 2.73
Y 0.6669 0.1669 0.0000  2 Ni 2.73
Y 0.3331 0.8331 0.0000  2 Ni 2.73


Version two
Compound: Y2NiPb2
Source: the Alexandria database
Functional: PBE-GGA
Structure: relaxed

a b c (Å): 7.1862 7.1862 4.8731
angles (deg): 90.00 90.00 90.00
With the nearest neighbours (Å) after each atom.
Sites, in units of the cell vectors:
Y 0.1676 0.6676 0.5000  6 Pb 3.05-3.35, 1 Y 3.41
Y 0.8324 0.3324 0.5000  6 Pb 3.05-3.35, 1 Y 3.41
Y 0.6676 0.8324 0.5000  6 Pb 3.05-3.35, 1 Y 3.41
Y 0.3324 0.1676 0.5000  6 Pb 3.05-3.35, 1 Y 3.41
Ni 0.0000 0.0000 0.0000  4 Pb 2.73
Ni 0.5000 0.5000 0.0000  4 Pb 2.73
Pb 0.3485 0.8485 0.0000  2 Ni 2.73, 2 Y 3.05
Pb 0.6515 0.1515 0.0000  2 Ni 2.73, 2 Y 3.05
Pb 0.1515 0.3485 0.0000  2 Ni 2.73, 2 Y 3.05
Pb 0.8485 0.6515 0.0000  2 Ni 2.73, 2 Y 3.05


Q: Which of them is the least stable? A: version one.


Version one
Compound: ZnNiPb
Source: the Alexandria database
Functional: PBE-GGA
Structure: relaxed

a b c (Å): 4.4344 4.4344 4.4344
angles (deg): 60.00 60.00 60.00
With the nearest neighbours (Å) after each atom.
Sites, in units of the cell vectors:
Pb 0.7500 0.7500 0.7500  4 Zn 2.72, 4 Ni 2.72
Zn 0.0000 0.0000 0.0000  4 Pb 2.72
Ni 0.5000 0.5000 0.5000  4 Pb 2.72


Version two
Compound: ZnNiPb
Source: the Alexandria database
Functional: PBE-GGA
Structure: relaxed

a b c (Å): 4.3248 4.3248 4.3248
angles (deg): 60.00 60.00 60.00
With the nearest neighbours (Å) after each atom.
Sites, in units of the cell vectors:
Zn 0.5000 0.5000 0.5000  4 Ni 2.65
Ni 0.7500 0.7500 0.7500  4 Pb 2.65, 4 Zn 2.65
Pb 0.0000 0.0000 0.0000  4 Ni 2.65


Version three
Compound: ZnNiPb
Source: the Alexandria database
Functional: PBE-GGA
Structure: relaxed

a b c (Å): 4.2537 4.2537 3.5819
angles (deg): 90.00 90.00 120.00
With the nearest neighbours (Å) after each atom.
Sites, in units of the cell vectors:
Pb 0.6667 0.3333 0.3317  6 Ni 3.03-3.05, 6 Zn 3.04
Ni 0.0000 0.0000 0.8378  3 Zn 2.46
Zn 0.3333 0.6667 0.8305  3 Ni 2.46


Q: Which of them is the least stable? A: version one.


Version one
Compound: ZrNi3Pb
Source: the Alexandria database
Functional: PBE-GGA
Structure: relaxed

a b c (Å): 4.6615 4.6615 4.6615
angles (deg): 90.00 90.00 90.00
With the nearest neighbours (Å) after each atom.
Sites, in units of the cell vectors:
Ni 0.5000 0.0000 0.0000  2 Pb 2.33
Ni 0.0000 0.5000 0.0000  2 Pb 2.33
Ni 0.0000 0.0000 0.5000  2 Pb 2.33
Zr 0.5000 0.5000 0.5000  12 Ni 3.30
Pb 0.0000 0.0000 0.0000  6 Ni 2.33


Version two
Compound: ZrNi3Pb
Source: the Alexandria database
Functional: PBE-GGA
Structure: relaxed

a b c (Å): 4.7224 4.7224 4.7224
angles (deg): 90.00 90.00 90.00
With the nearest neighbours (Å) after each atom.
Sites, in units of the cell vectors:
Ni 0.5000 0.0000 0.0000  2 Zr 2.36
Ni 0.0000 0.0000 0.5000  2 Zr 2.36
Ni 0.0000 0.5000 0.0000  2 Zr 2.36
Zr 0.0000 0.0000 0.0000  6 Ni 2.36
Pb 0.5000 0.5000 0.5000  12 Ni 3.34


Q: Which of them is the least stable? A: version one.


Version one
Compound: Ni4Pd
Source: the Alexandria database
Functional: PBE-GGA
Structure: relaxed

a b c (Å): 4.5086 4.5086 4.5086
angles (deg): 90.00 90.00 90.00
With the nearest neighbours (Å) after each atom.
Sites, in units of the cell vectors:
Ni 0.5000 0.5000 0.0000  2 Pd 2.25
Ni 0.5000 0.0000 0.5000  2 Pd 2.25
Ni 0.0000 0.0000 0.0000  12 Ni 3.19
Ni 0.0000 0.5000 0.5000  2 Pd 2.25
Pd 0.5000 0.5000 0.5000  6 Ni 2.25


Version two
Compound: Ni4Pd
Source: the Alexandria database
Functional: PBE-GGA
Structure: relaxed

a b c (Å): 2.5901 3.5403 6.8404
angles (deg): 105.00 100.91 90.00
With the nearest neighbours (Å) after each atom.
Sites, in units of the cell vectors:
Pd 0.0000 0.0000 0.0000  2 Pd 2.59, 10 Ni 2.61-2.63
Ni 0.2028 0.2028 0.4057  11 Ni 2.44-2.59, 1 Pd 2.63
Ni 0.6089 0.6089 0.2177  7 Ni 2.44-2.59, 4 Pd 2.61
Ni 0.3911 0.3911 0.7823  7 Ni 2.44-2.59, 4 Pd 2.61
Ni 0.7972 0.7972 0.5943  11 Ni 2.44-2.59, 1 Pd 2.63


Q: Which of them is the least stable? A: version one.


Version one
Compound: Ni3Pd7
Source: the Alexandria database
Functional: PBE-GGA
Structure: relaxed

a b c (Å): 6.0581 7.5248 7.5249
angles (deg): 120.00 90.00 90.00
With the nearest neighbours (Å) after each atom.
Sites, in units of the cell vectors:
Ni 0.3409 0.5648 0.7824  8 Pd 2.51-2.62, 2 Ni 2.61
Ni 0.8409 0.7824 0.5648  8 Pd 2.51-2.62, 2 Ni 2.61
Ni 0.3409 0.2176 0.4352  8 Pd 2.51-2.62, 2 Ni 2.61
Ni 0.8409 0.4352 0.2176  8 Pd 2.51-2.62, 2 Ni 2.61
Ni 0.3409 0.2176 0.7824  8 Pd 2.51-2.62, 2 Ni 2.61
Ni 0.8409 0.7824 0.2176  8 Pd 2.51-2.62, 2 Ni 2.61
Pd 0.9597 0.1225 0.8775  3 Ni 2.57-2.62, 3 Pd 2.76-2.77
Pd 0.9598 0.1225 0.2450  3 Ni 2.57-2.62, 3 Pd 2.76-2.77
Pd 0.6656 0.0757 0.5378  4 Ni 2.54-2.55, 2 Pd 2.67-2.83
Pd 0.5092 0.6667 0.3333  3 Ni 2.51, 6 Pd 2.67-2.76
Pd 0.4598 0.8775 0.1225  3 Ni 2.57-2.62, 3 Pd 2.76-2.77
Pd 0.6656 0.4622 0.9243  4 Ni 2.54-2.55, 2 Pd 2.67-2.83
Pd 0.4598 0.8775 0.7550  3 Ni 2.57-2.62, 3 Pd 2.76-2.77
Pd 0.9597 0.7550 0.8775  3 Ni 2.57-2.62, 3 Pd 2.76-2.77
Pd 0.1656 0.5378 0.4622  4 Ni 2.54-2.55, 2 Pd 2.67-2.83
Pd 0.6656 0.4622 0.5378  4 Ni 2.54-2.55, 2 Pd 2.67-2.83
Pd 0.1656 0.5378 0.0757  4 Ni 2.54-2.55, 2 Pd 2.67-2.83
Pd 0.4597 0.2450 0.1225  3 Ni 2.57-2.62, 3 Pd 2.76-2.77
Pd 0.1656 0.9243 0.4622  4 Ni 2.54-2.55, 2 Pd 2.67-2.83
Pd 0.0092 0.3333 0.6667  3 Ni 2.51, 6 Pd 2.67-2.76


Version two
Compound: Ni3Pd7
Source: the Alexandria database
Functional: PBE-GGA
Structure: relaxed

a b c (Å): 3.8562 5.4603 7.1927
angles (deg): 101.76 105.55 90.00
With the nearest neighbours (Å) after each atom.
Sites, in units of the cell vectors:
Pd 0.2024 0.1139 0.4048  5 Ni 2.65-2.78, 7 Pd 2.71-2.77
Pd 0.5971 0.8118 0.1942  4 Ni 2.68-2.78, 8 Pd 2.72-2.75
Pd 0.4029 0.1882 0.8058  4 Ni 2.68-2.78, 8 Pd 2.72-2.75
Pd 0.3940 0.6839 0.7879  5 Ni 2.63-2.79, 7 Pd 2.71-2.75
Pd 0.6060 0.3161 0.2121  5 Ni 2.63-2.79, 7 Pd 2.71-2.75
Pd 0.0000 0.5000 0.0000  4 Ni 2.71-2.73, 8 Pd 2.73-2.74
Pd 0.7976 0.8861 0.5952  5 Ni 2.65-2.78, 7 Pd 2.71-2.77
Ni 0.1998 0.6038 0.3996  10 Pd 2.63-2.78, 2 Ni 2.76
Ni 0.0000 0.0000 0.0000  12 Pd 2.68-2.79
Ni 0.8002 0.3962 0.6004  10 Pd 2.63-2.78, 2 Ni 2.76


Q: Which of them is the least stable? A: version one.


Version one
Compound: Ni3Pd4
Source: the Alexandria database
Functional: PBE-GGA
Structure: relaxed

a b c (Å): 2.6725 2.6725 14.3487
angles (deg): 84.66 84.66 90.00
With the nearest neighbours (Å) after each atom.
Sites, in units of the cell vectors:
Pd 0.5643 0.5643 0.8714  4 Ni 2.63, 8 Pd 2.67-2.83
Pd 0.4357 0.4357 0.1286  4 Ni 2.63, 8 Pd 2.67-2.83
Pd 0.8618 0.8618 0.2765  1 Ni 2.43, 4 Pd 2.67
Pd 0.1382 0.1382 0.7235  1 Ni 2.43, 4 Pd 2.67
Ni 0.7763 0.7763 0.4474  8 Ni 2.41-2.67, 1 Pd 2.43
Ni 0.2237 0.2237 0.5526  8 Ni 2.41-2.67, 1 Pd 2.43
Ni 0.0000 0.0000 0.0000  8 Pd 2.63, 4 Ni 2.67


Version two
Compound: Ni3Pd4
Source: the Alexandria database
Functional: PBE-GGA
Structure: relaxed

a b c (Å): 3.7311 4.6863 6.0214
angles (deg): 97.04 90.00 113.46
With the nearest neighbours (Å) after each atom.
Sites, in units of the cell vectors:
Pd 0.0732 0.1464 0.2087  7 Ni 2.63-2.69, 5 Pd 2.66-2.76
Pd 0.2089 0.4178 0.6503  6 Ni 2.62-2.77, 6 Pd 2.67-2.76
Pd 0.9268 0.8536 0.7913  7 Ni 2.63-2.69, 5 Pd 2.66-2.76
Pd 0.7911 0.5822 0.3497  6 Ni 2.62-2.77, 6 Pd 2.67-2.76
Ni 0.6424 0.2847 0.9294  8 Pd 2.62-2.69, 4 Ni 2.68-2.71
Ni 0.5000 0.0000 0.5000  10 Pd 2.66-2.77, 2 Ni 2.71
Ni 0.3576 0.7153 0.0706  8 Pd 2.62-2.69, 4 Ni 2.68-2.71


Q: Which of them is the least stable? A: version one.


Version one
Compound: Ni2Pd5
Source: the Alexandria database
Functional: PBE-GGA
Structure: relaxed

a b c (Å): 2.7476 2.7476 13.3215
angles (deg): 95.92 95.92 90.00
With the nearest neighbours (Å) after each atom.
Sites, in units of the cell vectors:
Pd 0.0000 0.0000 0.0000  12 Pd 2.75-2.81
Pd 0.5771 0.5771 0.1543  12 Pd 2.75-2.82
Pd 0.4229 0.4229 0.8457  12 Pd 2.75-2.82
Pd 0.1548 0.1548 0.3096  4 Ni 2.63, 8 Pd 2.75-2.82
Pd 0.8452 0.8452 0.6904  4 Ni 2.63, 8 Pd 2.75-2.82
Ni 0.7220 0.7220 0.4440  4 Ni 2.44, 4 Pd 2.63
Ni 0.2780 0.2780 0.5560  4 Ni 2.44, 4 Pd 2.63


Version two
Compound: Ni2Pd5
Source: the Alexandria database
Functional: PBE-GGA
Structure: relaxed

a b c (Å): 4.6679 7.0828 6.5269
angles (deg): 93.54 110.95 90.00
With the nearest neighbours (Å) after each atom.
Sites, in units of the cell vectors:
Pd 0.8840 0.3230 0.4312  9 Pd 2.70-2.82, 3 Ni 2.72-2.77
Pd 0.5471 0.8230 0.4312  9 Pd 2.70-2.82, 3 Ni 2.72-2.77
Pd 0.8076 0.2500 0.0000  6 Ni 2.64-2.77, 6 Pd 2.71-2.75
Pd 0.3124 0.4603 0.2692  4 Ni 2.61-2.70, 8 Pd 2.70-2.91
Pd 0.1160 0.6770 0.5688  9 Pd 2.70-2.82, 3 Ni 2.72-2.77
Pd 0.9568 0.9603 0.2692  4 Ni 2.61-2.70, 8 Pd 2.70-2.91
Pd 0.1924 0.7500 0.0000  6 Ni 2.64-2.77, 6 Pd 2.71-2.75
Pd 0.6876 0.5397 0.7308  4 Ni 2.61-2.70, 8 Pd 2.70-2.91
Pd 0.0432 0.0397 0.7308  4 Ni 2.61-2.70, 8 Pd 2.70-2.91
Pd 0.4529 0.1770 0.5688  9 Pd 2.70-2.82, 3 Ni 2.72-2.77
Ni 0.7461 0.6077 0.1410  10 Pd 2.61-2.77, 2 Ni 2.73-2.76
Ni 0.2539 0.3923 0.8590  10 Pd 2.61-2.77, 2 Ni 2.73-2.76
Ni 0.3950 0.1077 0.1410  10 Pd 2.61-2.77, 2 Ni 2.73-2.76
Ni 0.6050 0.8923 0.8590  10 Pd 2.61-2.77, 2 Ni 2.73-2.76


Q: Which of them is the least stable? A: version two.


Version one
Compound: NiPd4
Source: the Alexandria database
Functional: PBE-GGA
Structure: relaxed

a b c (Å): 2.7650 2.7650 9.7567
angles (deg): 98.15 98.15 90.00
With the nearest neighbours (Å) after each atom.
Sites, in units of the cell vectors:
Pd 0.4094 0.4094 0.8188  4 Ni 2.61, 8 Pd 2.77-2.82
Pd 0.8031 0.8031 0.6063  12 Pd 2.77-2.82
Pd 0.1969 0.1969 0.3937  12 Pd 2.77-2.82
Pd 0.5906 0.5906 0.1812  4 Ni 2.61, 8 Pd 2.77-2.82
Ni 0.0000 0.0000 0.0000  8 Pd 2.61, 4 Ni 2.77


Version two
Compound: NiPd4
Source: the Alexandria database
Functional: PBE-GGA
Structure: relaxed

a b c (Å): 4.5141 4.5141 4.5141
angles (deg): 90.00 90.00 90.00
With the nearest neighbours (Å) after each atom.
Sites, in units of the cell vectors:
Pd 0.5000 0.5000 0.0000  2 Ni 2.26
Pd 0.5000 0.0000 0.5000  2 Ni 2.26
Pd 0.0000 0.5000 0.5000  2 Ni 2.26
Pd 0.0000 0.0000 0.0000  12 Pd 3.19
Ni 0.5000 0.5000 0.5000  6 Pd 2.26


Version three
Compound: NiPd4
Source: the Alexandria database
Functional: PBE-GGA
Structure: relaxed

a b c (Å): 2.7660 2.7660 11.2017
angles (deg): 82.91 82.91 60.00
With the nearest neighbours (Å) after each atom.
Sites, in units of the cell vectors:
Pd 0.6048 0.6048 0.1856  3 Ni 2.60, 9 Pd 2.77-2.82
Pd 0.3952 0.3952 0.8144  3 Ni 2.60, 9 Pd 2.77-2.82
Pd 0.2016 0.2016 0.3952  12 Pd 2.77-2.82
Pd 0.7984 0.7984 0.6048  12 Pd 2.77-2.82
Ni 0.0000 0.0000 0.0000  6 Pd 2.60, 6 Ni 2.77


Q: Which of them is the least stable? A: version two.


Version one
Compound: Ni6Pd
Source: the Alexandria database
Functional: PBE-GGA
Structure: relaxed

a b c (Å): 6.6451 10.5844 4.7844
angles (deg): 80.79 90.00 89.98
With the nearest neighbours (Å) after each atom.
Sites, in units of the cell vectors:
Ni 0.9477 0.1253 0.2038  8 Ni 2.38-2.46
Ni 0.0523 0.8747 0.7962  8 Ni 2.38-2.46
Ni 0.5508 0.1264 0.7026  8 Ni 2.38-2.46
Ni 0.5813 0.0925 0.2159  10 Ni 2.40-2.56, 1 Pd 2.51
Ni 0.3250 0.5250 0.9094  8 Ni 2.43-2.60, 1 Pd 2.57
Ni 0.7547 0.2774 0.4044  10 Ni 2.38-2.56
Ni 0.4835 0.3888 0.6068  6 Ni 2.42-2.60, 2 Pd 2.58-2.61
Ni 0.4492 0.8736 0.2974  8 Ni 2.38-2.46
Ni 0.9176 0.0931 0.7165  10 Ni 2.40-2.55, 1 Pd 2.51
Ni 0.5165 0.6112 0.3932  6 Ni 2.42-2.60, 2 Pd 2.58-2.61
Ni 0.7494 0.9242 0.0250  8 Ni 2.39-2.53
Ni 0.0166 0.3887 0.1069  6 Ni 2.42-2.60, 2 Pd 2.58-2.61
Ni 0.6750 0.4750 0.0906  8 Ni 2.43-2.60, 1 Pd 2.57
Ni 0.0824 0.9069 0.2835  10 Ni 2.40-2.55, 1 Pd 2.51
Ni 0.2547 0.7228 0.0952  10 Ni 2.38-2.55
Ni 0.4187 0.9075 0.7841  10 Ni 2.40-2.56, 1 Pd 2.51
Ni 0.2484 0.0756 0.4750  8 Ni 2.39-2.53
Ni 0.9834 0.6113 0.8931  6 Ni 2.42-2.60, 2 Pd 2.58-2.61
Ni 0.2453 0.7226 0.5956  10 Ni 2.38-2.56
Ni 0.8251 0.4749 0.5909  8 Ni 2.43-2.60, 1 Pd 2.57
Ni 0.2506 0.0758 0.9750  8 Ni 2.39-2.53
Ni 0.7453 0.2772 0.9048  10 Ni 2.38-2.55
Ni 0.1749 0.5251 0.4091  8 Ni 2.43-2.60, 1 Pd 2.57
Ni 0.7516 0.9244 0.5250  8 Ni 2.39-2.53
Pd 0.8748 0.7061 0.3418  10 Ni 2.51-2.78
Pd 0.3750 0.2938 0.1583  10 Ni 2.51-2.78
Pd 0.1252 0.2939 0.6582  10 Ni 2.51-2.78
Pd 0.6250 0.7062 0.8417  10 Ni 2.51-2.78


Version two
Compound: Ni6Pd
Source: the Alexandria database
Functional: PBE-GGA
Structure: relaxed

a b c (Å): 5.3038 5.3038 5.3038
angles (deg): 109.47 109.47 109.47
With the nearest neighbours (Å) after each atom.
Sites, in units of the cell vectors:
Ni 0.5000 0.2500 0.7500  4 Ni 2.17
Ni 0.7500 0.5000 0.2500  4 Ni 2.17
Ni 0.2500 0.5000 0.7500  4 Ni 2.17
Ni 0.7500 0.2500 0.5000  4 Ni 2.17
Ni 0.2500 0.7500 0.5000  4 Ni 2.17
Ni 0.5000 0.7500 0.2500  4 Ni 2.17
Pd 0.0000 0.0000 0.0000  24 Ni 3.42


Q: Which of them is the least stable? A: version two.


Version one
Compound: PmNiPd
Source: the Alexandria database
Functional: PBE-GGA
Structure: relaxed

a b c (Å): 3.5216 3.5216 5.2071
angles (deg): 109.76 109.76 90.00
With the nearest neighbours (Å) after each atom.
Sites, in units of the cell vectors:
Pm 0.6197 0.6197 0.2394  5 Pd 2.89-3.01, 5 Ni 2.96-2.97
Ni 0.2945 0.2945 0.5891  4 Pd 2.81, 5 Pm 2.96-2.97
Pd 0.9358 0.9358 0.8715  4 Ni 2.81, 5 Pm 2.89-3.01


Version two
Compound: PmNiPd
Source: the Alexandria database
Functional: PBE-GGA
Structure: relaxed

a b c (Å): 3.8179 4.2749 4.2749
angles (deg): 120.00 90.00 90.00
With the nearest neighbours (Å) after each atom.
Sites, in units of the cell vectors:
Pd 0.1667 0.0000 0.0000  3 Ni 2.47
Ni 0.1667 0.6667 0.3333  3 Pd 2.47
Pm 0.6667 0.3333 0.6667  6 Ni 3.12, 6 Pd 3.12


Version three
Compound: PmNiPd
Source: the Alexandria database
Functional: PBE-GGA
Structure: relaxed

a b c (Å): 5.2580 5.3293 5.3293
angles (deg): 62.23 60.44 60.44
With the nearest neighbours (Å) after each atom.
Sites, in units of the cell vectors:
Pd 0.5000 0.5000 0.0000  4 Ni 2.66, 2 Pd 2.75
Pd 0.5000 0.0000 0.5000  4 Ni 2.66, 2 Pd 2.75
Pm 0.8811 0.3689 0.3689  6 Ni 3.05-3.20, 6 Pd 3.10-3.16, 4 Pm 3.28
Pm 0.1189 0.6311 0.6311  6 Ni 3.05-3.20, 6 Pd 3.10-3.16, 4 Pm 3.28
Ni 0.0000 0.0000 0.0000  2 Ni 2.63, 4 Pd 2.66
Ni 0.5000 0.0000 0.0000  2 Ni 2.63, 4 Pd 2.66


Version four
Compound: PmNiPd
Source: the Alexandria database
Functional: PBE-GGA
Structure: relaxed

a b c (Å): 3.5444 3.9189 4.4232
angles (deg): 90.00 90.00 90.00
With the nearest neighbours (Å) after each atom.
Sites, in units of the cell vectors:
Ni 0.5000 0.0000 0.5000  4 Pd 2.64, 4 Pm 2.83
Pm 0.0000 0.0000 0.0000  4 Ni 2.83, 4 Pd 2.95
Pd 0.0000 0.5000 0.5000  4 Ni 2.64, 4 Pm 2.95


Q: Which of them is the least stable? A: version four.